No. 1
VASP calculation (PBE) on a relaxed SrCd2Cu crystal.

Cell: 4.621 4.176 5.691 Å, 73.27 90.00 90.00°
Element x y z (fractional)
Cd1 0.000 0.103 0.047
Sr1 0.500 0.750 0.750
Cd2 0.000 0.397 0.453
Cu1 0.500 0.250 0.250

Properties
E_tot: -1.9756 eV/atom
Total magnetic moment: 0.0000 μB/atom

No. 2
VASP calculation (PBE) on a relaxed BaScTe crystal.

Cell: 5.057 5.057 4.801 Å, 90.00 90.00 120.00°
Each line ends with the local moment (μB).
Element x y z (fractional)
Ba1 0.000 0.000 0.000  0.06
Te1 0.333 0.667 0.500  0.00
Sc1 0.667 0.333 0.500  0.46

Properties
Total magnetic moment: 0.3069 μB/atom
Formation energy (no corrections): -627 meV per atom
Distance to the lowest polymorph of the same formula: 5.8 kJ per mole of atoms

No. 3
VASP calculation (PBE) on a relaxed NaMn2TlCl8 crystal.

Cell: 6.724 6.724 9.260 Å, 90.00 90.00 120.00°
Each line ends with the local moment (μB).
Element x y z (fractional)
Tl1 0.000 0.000 0.000  0.01
Cl1 0.022 0.334 0.697  0.03
Cl2 0.978 0.666 0.303  0.03
Cl3 0.666 0.688 0.697  0.03
Cl4 0.667 0.333 0.008  0.01
Cl5 0.333 0.667 0.992  0.01
Cl6 0.334 0.312 0.303  0.03
Cl7 0.688 0.022 0.303  0.03
Na1 0.000 0.000 0.500  0.00
Mn1 0.667 0.333 0.243  3.56
Cl8 0.312 0.978 0.697  0.03
Mn2 0.333 0.667 0.757  3.56

Properties
Total magnetic moment: 0.6667 μB/atom
Formation energy (no corrections): -1033 meV per atom

No. 4
VASP calculation (PBE) on a relaxed Rb2SrNF6 crystal.

Cell: 5.916 5.916 6.858 Å, 64.45 64.45 90.00°
Each line ends with the local moment (μB).
Element x y z (fractional)
Rb1 0.750 0.250 0.500  0.00
F1 0.286 0.286 0.000  0.02
Rb2 0.250 0.750 0.500  0.00
F2 0.286 0.714 0.000  0.02
F3 0.714 0.714 0.000  0.02
F4 0.714 0.286 0.000  0.02
N1 0.500 0.500 0.000  0.65
Sr1 0.000 0.000 0.000  0.00
F5 0.216 0.216 0.568  0.01
F6 0.784 0.784 0.432  0.01

Properties
Total magnetic moment: 0.1000 μB/atom
Formation energy (no corrections): -2018 meV per atom

No. 5
VASP calculation (PBE) on a relaxed Zr3CuPt crystal.

Cell: 4.819 4.819 4.819 Å, 90.00 90.00 90.00°
Element x y z (fractional)
Cu1 0.000 0.000 0.000
Zr1 0.000 0.000 0.500
Zr2 0.000 0.500 0.000
Zr3 0.500 0.000 0.000
Pt1 0.500 0.500 0.500

Properties
Total magnetic moment: 0.0000 μB/atom
Distance to the lowest polymorph of the same formula: 0.0 kJ per mole of atoms

No. 6
VASP calculation (PBE) on a relaxed PmSm2Ga2Pt7 crystal.

Cell: 4.107 4.107 14.229 Å, 83.59 83.59 89.36°
Element x y z (fractional)
Pt1 0.500 0.500 0.000
Sm1 0.121 0.121 0.642
Pt2 0.940 0.440 0.157
Pt3 0.440 0.940 0.157
Pt4 0.560 0.060 0.843
Ga1 0.598 0.598 0.742
Sm2 0.879 0.879 0.358
Pt5 0.637 0.637 0.568
Pm1 0.000 0.000 0.000
Pt6 0.060 0.560 0.843
Ga2 0.402 0.402 0.258
Pt7 0.363 0.363 0.432

Properties
E_tot: -6.1575 eV/atom
Total magnetic moment: 0.0000 μB/atom

No. 7
VASP calculation (PBE) on a relaxed SmY2Tm4 crystal.

Cell: 6.015 6.552 11.625 Å, 90.00 106.64 90.00°
Element x y z (fractional)
Tm1 0.638 0.492 0.291
Y1 0.386 0.250 0.989
Y2 0.285 0.250 0.448
Tm2 0.362 0.508 0.709
Tm3 0.638 0.008 0.291
Tm4 0.856 0.250 0.580
Tm5 0.982 0.750 0.837
Sm1 0.821 0.250 0.863
Tm6 0.018 0.250 0.163
Y3 0.614 0.750 0.011
Tm7 0.144 0.750 0.420
Tm8 0.362 0.992 0.709
Sm2 0.179 0.750 0.137
Y4 0.715 0.750 0.552

Properties
Total magnetic moment: 0.0000 μB/atom
Distance to the lowest polymorph of the same formula: 8.3 kJ per mole of atoms

No. 8
VASP calculation (PBE) on a relaxed Ta2In2PdS6 crystal.

Cell: 6.311 6.311 7.554 Å, 96.43 96.43 123.02°
Element x y z (fractional)
In1 0.169 0.831 0.000
Ta1 0.645 0.355 0.500
S1 0.727 0.727 0.708
S2 0.273 0.273 0.292
S3 0.955 0.582 0.308
S4 0.582 0.955 0.308
Ta2 0.355 0.645 0.500
Pd1 0.000 0.000 0.500
S5 0.045 0.418 0.692
S6 0.418 0.045 0.692
In2 0.831 0.169 0.000

Properties
Total magnetic moment: 0.0000 μB/atom
Formation energy (no corrections): -592 meV per atom

No. 9
VASP calculation (PBE) on a relaxed NaZn3Sn2 crystal.

Cell: 4.211 8.608 8.622 Å, 113.60 90.00 104.16°
Element x y z (fractional)
Sn1 0.792 0.583 0.283
Zn1 0.417 0.834 0.360
Zn2 0.955 0.911 0.596
Sn2 0.208 0.417 0.717
Sn3 0.527 0.054 0.188
Zn3 0.308 0.616 0.530
Zn4 0.045 0.089 0.404
Na1 0.141 0.283 0.023
Na2 0.859 0.717 0.977
Zn5 0.692 0.384 0.470
Sn4 0.473 0.946 0.812
Zn6 0.583 0.166 0.640

Properties
E_tot: -2.2122 eV/atom
Total magnetic moment: 0.0000 μB/atom

No. 10
VASP calculation (PBE) on a relaxed KNdTl2Br6 crystal.

Cell: 8.206 8.206 8.516 Å, 61.17 61.15 59.93°
Element x y z (fractional)
Tl1 0.527 0.526 0.420
Br1 0.123 0.428 0.772
Br2 0.199 0.978 0.250
Tl2 0.020 0.020 0.941
Br3 0.428 0.677 0.772
K1 0.815 0.815 0.556
Br4 0.572 0.200 0.250
Nd1 0.322 0.322 0.034
Br5 0.677 0.122 0.772
Br6 0.978 0.573 0.249

Properties
Total magnetic moment: 0.0000 μB/atom
Formation energy (no corrections): -1463 meV per atom

No. 11
VASP calculation (PBE) on a relaxed CuRhSe2 crystal.

Cell: 3.199 3.199 6.289 Å, 90.00 90.00 89.98°
Element x y z (fractional)
Rh1 0.500 0.500 0.750
Cu1 0.500 0.500 0.250
Se1 0.000 0.000 0.506
Se2 0.000 0.000 0.994

Properties
Total magnetic moment: 0.0000 μB/atom
Formation energy (no corrections): 113 meV per atom

No. 12
VASP calculation (PBE) on a relaxed Pr2Dy5Y6 crystal.

Cell: 3.597 11.784 20.347 Å, 90.00 90.00 90.00°
Element x y z (fractional)
Y1 0.000 0.557 0.422
Y2 0.000 0.443 0.578
Y3 0.500 0.321 0.126
Dy1 0.500 0.500 0.000
Dy2 0.500 0.701 0.550
Dy3 0.500 0.594 0.277
Pr1 0.000 0.166 0.784
Y4 0.500 0.179 0.626
Dy4 0.500 0.299 0.450
Y5 0.000 0.943 0.922
Dy5 0.500 0.094 0.223
Dy6 0.500 0.799 0.050
Y6 0.000 0.581 0.134
Y7 0.000 0.057 0.078
Y8 0.000 0.081 0.366
Y9 0.500 0.679 0.874
Pr2 0.000 0.334 0.284
Pr3 0.000 0.666 0.716
Y10 0.000 0.919 0.634
Pr4 0.000 0.834 0.216
Dy7 0.500 0.201 0.950
Dy8 0.500 0.906 0.777
Dy9 0.500 0.406 0.723
Y11 0.000 0.419 0.866
Dy10 0.500 0.000 0.500
Y12 0.500 0.821 0.374

Properties
E_tot: -5.3878 eV/atom
Total magnetic moment: 0.0000 μB/atom

- Which formula does entry 2 have?
  BaScTe